[1]
# PBE K2Tl4Pb3, relaxed
data_K2Tl4Pb3
_symmetry_space_group_name_H-M 'F m m m'
_symmetry_Int_Tables_number 69
_symmetry_space_group_name_Hall '-F 2 2'
_cell_length_a 6.5262
_cell_length_b 11.6226
_cell_length_c 16.4138
_cell_angle_alpha 90.00
_cell_angle_beta 90.00
_cell_angle_gamma 90.00
loop_
_atom_site_label
_atom_site_type_symbol
_atom_site_fract_x
_atom_site_fract_y
_atom_site_fract_z
K1 K 0.0000 0.0000 0.1276
Tl1 Tl 0.0000 0.1597 0.3247
Pb1 Pb 0.0000 0.0000 0.5000
Pb2 Pb 0.2500 0.2500 0.0000
# D(E_F): 0.42 states/eV/atom
# ΔH_f (0 K): -0.113 eV per atom
# uncorrected energy: -23.8 eV per formula unit
# excess energy over the best structure of this formula in the dataset: 0 meV per atom
# mass density: 8095 kg/m³

[2]
# PBE Tl2CdBiPb4, relaxed
data_Tl2CdBiPb4
_symmetry_space_group_name_H-M 'P 1'
_symmetry_Int_Tables_number 1
_symmetry_space_group_name_Hall 'P 1'
_cell_length_a 6.0602
_cell_length_b 7.0115
_cell_length_c 7.0258
_cell_angle_alpha 61.43
_cell_angle_beta 71.03
_cell_angle_gamma 88.21
loop_
_atom_site_label
_atom_site_type_symbol
_atom_site_fract_x
_atom_site_fract_y
_atom_site_fract_z
Tl1 Tl 0.0000 0.0000 0.0000
Tl2 Tl 0.0011 0.5017 0.0028
Cd1 Cd 0.9967 0.0021 0.5004
Bi1 Bi 0.4932 0.2427 0.0147
Pb1 Pb 0.4948 0.7568 0.4989
Pb2 Pb 0.5006 0.7482 0.0019
Pb3 Pb 0.5018 0.2450 0.5063
Pb4 Pb 0.9975 0.5026 0.5047
# D(E_F): 0.42 states/eV/atom
# ΔH_f (0 K): 0.018 eV per atom
# uncorrected energy: -24.2 eV per formula unit
# mass density: 10560 kg/m³

[3]
# PBE BaAsPb3, relaxed
data_BaAsPb3
_symmetry_space_group_name_H-M 'P m -3 m'
_symmetry_Int_Tables_number 221
_symmetry_space_group_name_Hall '-P 4 2 3'
_cell_length_a 6.2658
_cell_length_b 6.2658
_cell_length_c 6.2658
_cell_angle_alpha 90.00
_cell_angle_beta 90.00
_cell_angle_gamma 90.00
loop_
_atom_site_label
_atom_site_type_symbol
_atom_site_fract_x
_atom_site_fract_y
_atom_site_fract_z
Ba1 Ba 0.0000 0.0000 0.0000
As1 As 0.5000 0.5000 0.5000
Pb1 Pb 0.0000 0.0000 0.5000
# D(E_F): 1.66 states/eV/atom
# ΔH_f (0 K): 1.194 eV per atom
# uncorrected energy: -11.7 eV per formula unit
# excess energy over the best structure of this formula in the dataset: 1201 meV per atom
# mass density: 5629 kg/m³

[4]
# PBE NaTiIn, relaxed
data_NaTiIn
_symmetry_space_group_name_H-M 'C 1 m 1'
_symmetry_Int_Tables_number 8
_symmetry_space_group_name_Hall 'C -2y'
_cell_length_a 9.5930
_cell_length_b 4.3718
_cell_length_c 6.6085
_cell_angle_alpha 90.00
_cell_angle_beta 103.49
_cell_angle_gamma 90.00
loop_
_atom_site_label
_atom_site_type_symbol
_atom_site_fract_x
_atom_site_fract_y
_atom_site_fract_z
Na1 Na 0.0000 0.0000 0.0000
Na2 Na 0.1675 0.5000 0.8527
Ti1 Ti 0.3563 0.0000 0.2530
Ti2 Ti 0.4883 0.5000 0.4772
In1 In 0.1705 0.5000 0.3471
In2 In 0.3289 0.0000 0.6770
# D(E_F): 0.56 states/eV/atom
# ΔH_f (0 K): 0.151 eV per atom
# uncorrected energy: -11.5 eV per formula unit
# excess energy over the best structure of this formula in the dataset: 195 meV per atom
# mass density: 4576 kg/m³

[5]
# PBE Pr4Dy3ErTe8, relaxed
data_Pr4Dy3ErTe8
_symmetry_space_group_name_H-M 'R -3 m'
_symmetry_Int_Tables_number 166
_symmetry_space_group_name_Hall '-R 3 2"'
_cell_length_a 8.7572
_cell_length_b 8.7572
_cell_length_c 22.3524
_cell_angle_alpha 90.00
_cell_angle_beta 90.00
_cell_angle_gamma 120.00
loop_
_atom_site_label
_atom_site_type_symbol
_atom_site_fract_x
_atom_site_fract_y
_atom_site_fract_z
Pr1 Pr 0.0000 0.0000 0.0000
Pr2 Pr 0.0000 0.5000 0.0000
Dy1 Dy 0.0000 0.5000 0.5000
Er1 Er 0.0000 0.0000 0.5000
Te1 Te 0.0000 0.0000 0.2449
Te2 Te 0.0016 0.5008 0.2446
# energy relative to the elements, uncorrected: -21.68 eV/f.u.
# D(E_F): 0.68 states/eV/atom
# uncorrected energy: -84.3 eV per formula unit
# mass density: 7514 kg/m³

[6]
# PBE CoHRh3, relaxed
data_CoHRh3
_symmetry_space_group_name_H-M 'P m -3 m'
_symmetry_Int_Tables_number 221
_symmetry_space_group_name_Hall '-P 4 2 3'
_cell_length_a 4.4721
_cell_length_b 4.4721
_cell_length_c 4.4721
_cell_angle_alpha 90.00
_cell_angle_beta 90.00
_cell_angle_gamma 90.00
loop_
_atom_site_label
_atom_site_type_symbol
_atom_site_fract_x
_atom_site_fract_y
_atom_site_fract_z
Co1 Co 0.0000 0.0000 0.0000
H1 H 0.5000 0.5000 0.5000
Rh1 Rh 0.0000 0.0000 0.5000
# D(E_F): 1.31 states/eV/atom
# uncorrected energy: -24.3 eV per formula unit
# excess energy over the best structure of this formula in the dataset: 1591 meV per atom
# mass density: 6844 kg/m³

[7]
# PBE Li2TbTl, relaxed
data_Li2TbTl
_symmetry_space_group_name_H-M 'F -4 3 m'
_symmetry_Int_Tables_number 216
_symmetry_space_group_name_Hall 'F -4 2 3'
_cell_length_a 7.1169
_cell_length_b 7.1169
_cell_length_c 7.1169
_cell_angle_alpha 90.00
_cell_angle_beta 90.00
_cell_angle_gamma 90.00
loop_
_atom_site_label
_atom_site_type_symbol
_atom_site_fract_x
_atom_site_fract_y
_atom_site_fract_z
Li1 Li 0.0000 0.0000 0.0000
Li2 Li 0.2500 0.2500 0.2500
Tb1 Tb 0.2500 0.2500 0.7500
Tl1 Tl 0.0000 0.0000 0.5000
# D(E_F): 0.58 states/eV/atom
# ΔH_f (0 K): -0.212 eV per atom
# uncorrected energy: -11.7 eV per formula unit
# mass density: 6950 kg/m³

[8]
# PBE Ta3Au, relaxed
data_Ta3Au
_symmetry_space_group_name_H-M 'P 1 2/m 1'
_symmetry_Int_Tables_number 10
_symmetry_space_group_name_Hall '-P 2y'
_cell_length_a 2.8150
_cell_length_b 4.7497
_cell_length_c 5.4747
_cell_angle_alpha 90.00
_cell_angle_beta 99.01
_cell_angle_gamma 90.00
loop_
_atom_site_label
_atom_site_type_symbol
_atom_site_fract_x
_atom_site_fract_y
_atom_site_fract_z
Ta1 Ta 0.0000 0.0000 0.0000
Ta2 Ta 0.2504 0.5000 0.7623
Au1 Au 0.5000 0.0000 0.5000
# D(E_F): 1.29 states/eV/atom
# ΔH_f (0 K): 0.067 eV per atom
# uncorrected energy: -38.6 eV per formula unit
# excess energy over the best structure of this formula in the dataset: 118 meV per atom
# mass density: 16992 kg/m³

[9]
# PBE TaGeTePt, relaxed
data_TaGeTePt
_symmetry_space_group_name_H-M 'P 1'
_symmetry_Int_Tables_number 1
_symmetry_space_group_name_Hall 'P 1'
_cell_length_a 3.5993
_cell_length_b 5.0759
_cell_length_c 5.2579
_cell_angle_alpha 76.46
_cell_angle_beta 70.06
_cell_angle_gamma 69.37
loop_
_atom_site_label
_atom_site_type_symbol
_atom_site_fract_x
_atom_site_fract_y
_atom_site_fract_z
Ta1 Ta 0.0000 0.0000 0.0000
Ge1 Ge 0.6318 0.5553 0.1823
Te1 Te 0.7228 0.9796 0.5735
Pt1 Pt 0.3555 0.4481 0.8399
# energy relative to the elements, uncorrected: -0.22 eV/f.u.
# D(E_F): 0.84 states/eV/atom
# uncorrected energy: -25.9 eV per formula unit
# excess energy over the best structure of this formula in the dataset: 179 meV per atom
# mass density: 11419 kg/m³

[10]
# PBE DyLuTl, relaxed
data_DyLuTl
_symmetry_space_group_name_H-M 'F -4 3 m'
_symmetry_Int_Tables_number 216
_symmetry_space_group_name_Hall 'F -4 2 3'
_cell_length_a 7.2552
_cell_length_b 7.2552
_cell_length_c 7.2552
_cell_angle_alpha 90.00
_cell_angle_beta 90.00
_cell_angle_gamma 90.00
loop_
_atom_site_label
_atom_site_type_symbol
_atom_site_fract_x
_atom_site_fract_y
_atom_site_fract_z
Dy1 Dy 0.0000 0.0000 0.0000
Lu1 Lu 0.0000 0.0000 0.5000
Tl1 Tl 0.2500 0.2500 0.7500
# D(E_F): 1.24 states/eV/atom
# ΔH_f (0 K): -0.024 eV per atom
# uncorrected energy: -11.6 eV per formula unit
# excess energy over the best structure of this formula in the dataset: 198 meV per atom
# mass density: 9424 kg/m³

[11]
# PBE MnTl2Cl, relaxed
data_MnTl2Cl
_symmetry_space_group_name_H-M 'I m m 2'
_symmetry_Int_Tables_number 44
_symmetry_space_group_name_Hall 'I 2 -2'
_cell_length_a 3.3366
_cell_length_b 5.6761
_cell_length_c 10.7430
_cell_angle_alpha 90.00
_cell_angle_beta 90.00
_cell_angle_gamma 90.00
loop_
_atom_site_label
_atom_site_type_symbol
_atom_site_fract_x
_atom_site_fract_y
_atom_site_fract_z
Mn1 Mn 0.0000 0.0000 0.0000
Tl1 Tl 0.0000 0.0000 0.5252
Tl2 Tl 0.0000 0.5000 0.7333
Cl1 Cl 0.0000 0.5000 0.3310
# energy relative to the elements, uncorrected: -0.36 eV/f.u.
# D(E_F): 0.41 states/eV/atom
# uncorrected energy: -16.1 eV per formula unit
# excess energy over the best structure of this formula in the dataset: 29 meV per atom
# mass density: 8148 kg/m³

[12]
# PBE TiAlP2N6, relaxed
data_TiAlP2N6
_symmetry_space_group_name_H-M 'C 1 2/c 1'
_symmetry_Int_Tables_number 15
_symmetry_space_group_name_Hall '-C 2yc'
_cell_length_a 10.1375
_cell_length_b 8.5054
_cell_length_c 5.2340
_cell_angle_alpha 90.00
_cell_angle_beta 113.08
_cell_angle_gamma 90.00
loop_
_atom_site_label
_atom_site_type_symbol
_atom_site_fract_x
_atom_site_fract_y
_atom_site_fract_z
Ti1 Ti 0.0000 0.1091 0.2500
Al1 Al 0.0000 0.2674 0.7500
P1 P 0.2093 0.4195 0.1772
N1 N 0.1134 0.2643 0.1640
N2 N 0.1175 0.0940 0.6767
N3 N 0.1511 0.4444 0.8343
# energy relative to the elements, uncorrected: -6.93 eV/f.u.
# D(E_F): 0.18 states/eV/atom
# uncorrected energy: -79.3 eV per formula unit
# mass density: 3533 kg/m³

[13]
# PBE Nd2YSn3, relaxed
data_Nd2YSn3
_symmetry_space_group_name_H-M 'I m m m'
_symmetry_Int_Tables_number 71
_symmetry_space_group_name_Hall '-I 2 2'
_cell_length_a 5.2294
_cell_length_b 6.3457
_cell_length_c 11.2064
_cell_angle_alpha 90.00
_cell_angle_beta 90.00
_cell_angle_gamma 90.00
loop_
_atom_site_label
_atom_site_type_symbol
_atom_site_fract_x
_atom_site_fract_y
_atom_site_fract_z
Nd1 Nd 0.0000 0.0000 0.1713
Y1 Y 0.0000 0.0000 0.5000
Sn1 Sn 0.0000 0.5000 0.1534
Sn2 Sn 0.0000 0.5000 0.5000
# D(E_F): 0.79 states/eV/atom
# ΔH_f (0 K): -0.594 eV per atom
# uncorrected energy: -31.6 eV per formula unit
# mass density: 6551 kg/m³

[14]
# PBE CaPr3Tm, relaxed
data_CaPr3Tm
_symmetry_space_group_name_H-M 'R -3'
_symmetry_Int_Tables_number 148
_symmetry_space_group_name_Hall '-R 3'
_cell_length_a 6.2689
_cell_length_b 6.2689
_cell_length_c 35.2729
_cell_angle_alpha 90.00
_cell_angle_beta 90.00
_cell_angle_gamma 120.00
loop_
_atom_site_label
_atom_site_type_symbol
_atom_site_fract_x
_atom_site_fract_y
_atom_site_fract_z
Ca1 Ca 0.0000 0.0000 0.1673
Pr1 Pr 0.0047 0.6785 0.0771
Tm1 Tm 0.0000 0.0000 0.3335
# D(E_F): 1.67 states/eV/atom
# ΔH_f (0 K): 0.355 eV per atom
# uncorrected energy: -19.0 eV per formula unit
# excess energy over the best structure of this formula in the dataset: 204 meV per atom
# mass density: 5243 kg/m³

[15]
# PBE Zr2CoBi, relaxed
data_Zr2CoBi
_symmetry_space_group_name_H-M 'I -4 2 d'
_symmetry_Int_Tables_number 122
_symmetry_space_group_name_Hall 'I -4 2bw'
_cell_length_a 7.5792
_cell_length_b 7.5792
_cell_length_c 6.0322
_cell_angle_alpha 90.00
_cell_angle_beta 90.00
_cell_angle_gamma 90.00
loop_
_atom_site_label
_atom_site_type_symbol
_atom_site_fract_x
_atom_site_fract_y
_atom_site_fract_z
Zr1 Zr 0.1850 0.2500 0.1250
Co1 Co 0.0000 0.0000 0.0000
Bi1 Bi 0.0000 0.0000 0.5000
# D(E_F): 0.37 states/eV/atom
# ΔH_f (0 K): -0.020 eV per atom
# uncorrected energy: -28.2 eV per formula unit
# mass density: 8633 kg/m³

[16]
# PBE YCuF5, relaxed
data_YCuF5
_symmetry_space_group_name_H-M 'I m m m'
_symmetry_Int_Tables_number 71
_symmetry_space_group_name_Hall '-I 2 2'
_cell_length_a 4.2271
_cell_length_b 6.9373
_cell_length_c 8.0746
_cell_angle_alpha 90.00
_cell_angle_beta 90.00
_cell_angle_gamma 90.00
loop_
_atom_site_label
_atom_site_type_symbol
_atom_site_fract_x
_atom_site_fract_y
_atom_site_fract_z
Y1 Y 0.0000 0.0000 0.0000
Cu1 Cu 0.0000 0.0000 0.5000
F1 F 0.0000 0.0000 0.2744
F2 F 0.0000 0.3143 0.0000
F3 F 0.0000 0.5000 0.5000
# energy relative to the elements, uncorrected: -19.92 eV/f.u.
# D(E_F): 0.11 states/eV/atom
# uncorrected energy: -39.8 eV per formula unit
# excess energy over the best structure of this formula in the dataset: 128 meV per atom
# mass density: 3471 kg/m³

[17]
# PBE Al2CuSi, relaxed
data_Al2CuSi
_symmetry_space_group_name_H-M 'C 1 m 1'
_symmetry_Int_Tables_number 8
_symmetry_space_group_name_Hall 'C -2y'
_cell_length_a 10.0397
_cell_length_b 5.3628
_cell_length_c 6.6628
_cell_angle_alpha 90.00
_cell_angle_beta 95.95
_cell_angle_gamma 90.00
loop_
_atom_site_label
_atom_site_type_symbol
_atom_site_fract_x
_atom_site_fract_y
_atom_site_fract_z
Al1 Al 0.0000 0.0000 0.0000
Al2 Al 0.1188 0.0000 0.6543
Al3 Al 0.2491 0.2526 0.9842
Al4 Al 0.4744 0.2478 0.3518
Cu1 Cu 0.0129 0.5000 0.0260
Cu2 Cu 0.1104 0.5000 0.6643
Cu3 Cu 0.2173 0.5000 0.3187
Si1 Si 0.2429 0.0000 0.3279
Si2 Si 0.3487 0.5000 0.6589
Si3 Si 0.3775 0.0000 0.6908
# energy relative to the elements, uncorrected: 0.22 eV/f.u.
# D(E_F): 0.34 states/eV/atom
# uncorrected energy: -16.8 eV per formula unit
# mass density: 4066 kg/m³

[18]
# PBE TaSiHg2, relaxed
data_TaSiHg2
_symmetry_space_group_name_H-M 'P m m m'
_symmetry_Int_Tables_number 47
_symmetry_space_group_name_Hall '-P 2 2'
_cell_length_a 3.2243
_cell_length_b 4.3014
_cell_length_c 5.5777
_cell_angle_alpha 90.00
_cell_angle_beta 90.00
_cell_angle_gamma 90.00
loop_
_atom_site_label
_atom_site_type_symbol
_atom_site_fract_x
_atom_site_fract_y
_atom_site_fract_z
Ta1 Ta 0.0000 0.0000 0.0000
Si1 Si 0.0000 0.0000 0.5000
Hg1 Hg 0.5000 0.5000 0.2487
# energy relative to the elements, uncorrected: 2.20 eV/f.u.
# D(E_F): 0.44 states/eV/atom
# uncorrected energy: -15.7 eV per formula unit
# mass density: 13099 kg/m³

[19]
# PBE SrLa2Os, relaxed
data_SrLa2Os
_symmetry_space_group_name_H-M 'A m m 2'
_symmetry_Int_Tables_number 38
_symmetry_space_group_name_Hall 'A 2 -2'
_cell_length_a 3.9627
_cell_length_b 4.4851
_cell_length_c 16.6011
_cell_angle_alpha 90.00
_cell_angle_beta 90.00
_cell_angle_gamma 90.00
loop_
_atom_site_label
_atom_site_type_symbol
_atom_site_fract_x
_atom_site_fract_y
_atom_site_fract_z
Sr1 Sr 0.0000 0.0000 0.0000
La1 La 0.0000 0.0000 0.6765
La2 La 0.5000 0.0000 0.3214
Os1 Os 0.5000 0.0000 0.1698
# D(E_F): 0.98 states/eV/atom
# ΔH_f (0 K): 0.085 eV per atom
# uncorrected energy: -22.4 eV per formula unit
# excess energy over the best structure of this formula in the dataset: 147 meV per atom
# mass density: 6254 kg/m³

[20]
# PBE GePdN2F, relaxed
data_GePdN2F
_symmetry_space_group_name_H-M 'P 4/m m m'
_symmetry_Int_Tables_number 123
_symmetry_space_group_name_Hall '-P 4 2'
_cell_length_a 3.9864
_cell_length_b 3.9864
_cell_length_c 4.2881
_cell_angle_alpha 90.00
_cell_angle_beta 90.00
_cell_angle_gamma 90.00
loop_
_atom_site_label
_atom_site_type_symbol
_atom_site_fract_x
_atom_site_fract_y
_atom_site_fract_z
Ge1 Ge 0.0000 0.0000 0.0000
Pd1 Pd 0.5000 0.5000 0.5000
N1 N 0.0000 0.5000 0.5000
F1 F 0.5000 0.5000 0.0000
# energy relative to the elements, uncorrected: 4.59 eV/f.u.
# D(E_F): 0.54 states/eV/atom
# uncorrected energy: -23.7 eV per formula unit
# excess energy over the best structure of this formula in the dataset: 363 meV per atom
# mass density: 5509 kg/m³